Density functional theory data (PBE) for a relaxed structure of MnZnMo2.

a = 3.0966 Å, b = 4.3214 Å, c = 8.5251 Å
α = 90.00°, β = 90.00°, γ = 90.00°
With the nearest neighbours (Å) after each atom.
Space group Imm2 (No. 44)
Unique sites:
Mn  0.0000  0.0000  0.0000 [2 per cell]  6 Mo 2.48-2.67, 2 Zn 2.63
Zn  0.0000  0.5000  0.2504 [2 per cell]  2 Mn 2.63, 8 Mo 2.67-2.90
Mo  0.0000  0.0000  0.4771 [2 per cell]  2 Mo 2.63, 4 Mn 2.67, 4 Zn 2.80-2.90
Mo  0.0000  0.5000  0.7274 [2 per cell]  2 Mn 2.48, 2 Mo 2.63, 4 Zn 2.67

The value obtained for the formation enthalpy at 0 K is 200 meV per atom. As for the total magnetic moment: 0.136 μB/atom.